{
  "formula": "PmDyPaO6",
  "functional": "PBE-GGA",
  "state": "relaxed",
  "mass_density_g_cm3": 7.52,
  "e_form_raw_mev_per_atom": -3168,
  "cell": [[5.875, 0.000, 0.000], [-2.937, 5.088, 0.000], [0.000, 0.000, 4.689]],
  "species": ["Pm", "Dy", "Pa", "O", "O", "O", "O", "O", "O"],
  "fractional_positions": [[0.000, 0.000, 0.000], [0.333, 0.667, 0.000], [0.667, 0.333, 0.500], [0.356, 0.014, 0.247], [0.356, 0.343, 0.753], [0.657, 0.014, 0.753], [0.657, 0.644, 0.247], [0.986, 0.343, 0.247], [0.986, 0.644, 0.753]]
}

***

{
  "formula": "Ce8ThPt2",
  "functional": "PBE-GGA",
  "state": "relaxed",
  "formation_energy_ev_per_fu": -1.86,
  "mass_density_g_cm3": 9.48,
  "cell": [[6.979, -3.778, 0.000], [6.979, 3.778, 0.000], [-1.582, 0.000, 5.789]],
  "species": ["Ce", "Ce", "Ce", "Ce", "Ce", "Ce", "Ce", "Ce", "Th", "Pt", "Pt"],
  "fractional_positions": [[0.062, 0.062, 0.287], [0.118, 0.677, 0.160], [0.304, 0.304, 0.674], [0.323, 0.882, 0.840], [0.677, 0.118, 0.160], [0.696, 0.696, 0.326], [0.882, 0.323, 0.840], [0.938, 0.938, 0.713], [0.500, 0.500, 0.500], [0.257, 0.257, 0.163], [0.743, 0.743, 0.837]]
}

***

{
  "formula": "UVSe3",
  "functional": "PBE-GGA",
  "state": "relaxed",
  "mass_density_g_cm3": 7.89,
  "relative_energy_ev_per_fu": 0.00,
  "e_form_raw_mev_per_atom": -960,
  "cell": [[7.329, 0.000, 0.000], [0.000, 9.482, 0.000], [0.000, 0.000, 6.369]],
  "species": ["U", "U", "U", "U", "V", "V", "V", "V", "Se", "Se", "Se", "Se", "Se", "Se", "Se", "Se", "Se", "Se", "Se", "Se"],
  "fractional_positions": [[0.121, 0.250, 0.064], [0.379, 0.750, 0.564], [0.621, 0.250, 0.436], [0.879, 0.750, 0.936], [0.000, 0.000, 0.500], [0.000, 0.500, 0.500], [0.500, 0.000, 0.000], [0.500, 0.500, 0.000], [0.039, 0.750, 0.352], [0.180, 0.560, 0.842], [0.180, 0.940, 0.842], [0.320, 0.060, 0.342], [0.320, 0.440, 0.342], [0.461, 0.250, 0.852], [0.539, 0.750, 0.148], [0.680, 0.560, 0.658], [0.680, 0.940, 0.658], [0.820, 0.060, 0.158], [0.820, 0.440, 0.158], [0.961, 0.250, 0.648]]
}

***

{
  "formula": "Tb3ThHg2",
  "functional": "PBE-GGA",
  "state": "relaxed",
  "formation_energy_ev_per_fu": -1.96,
  "mass_density_g_cm3": 11.05,
  "cell": [[3.658, 0.000, 0.000], [0.000, 3.658, 0.000], [0.000, 0.000, 12.470]],
  "species": ["Tb", "Tb", "Tb", "Th", "Hg", "Hg"],
  "fractional_positions": [[0.000, 0.000, 0.000], [0.000, 0.000, 0.309], [0.000, 0.000, 0.691], [0.500, 0.500, 0.500], [0.500, 0.500, 0.154], [0.500, 0.500, 0.846]]
}

***

{
  "formula": "Nd4ErRh4",
  "functional": "PBE-GGA",
  "state": "relaxed",
  "formation_energy_ev_per_fu": -5.26,
  "mass_density_g_cm3": 8.38,
  "cell": [[8.898, 0.000, 0.000], [0.000, 8.898, 0.000], [0.000, 0.000, 5.786]],
  "species": ["Nd", "Nd", "Nd", "Nd", "Nd", "Nd", "Nd", "Nd", "Er", "Er", "Rh", "Rh", "Rh", "Rh", "Rh", "Rh", "Rh", "Rh"],
  "fractional_positions": [[0.058, 0.669, 0.151], [0.169, 0.942, 0.651], [0.331, 0.558, 0.651], [0.442, 0.831, 0.151], [0.558, 0.169, 0.849], [0.669, 0.442, 0.349], [0.831, 0.058, 0.349], [0.942, 0.331, 0.849], [0.250, 0.250, 0.250], [0.750, 0.750, 0.750], [0.019, 0.631, 0.643], [0.131, 0.981, 0.143], [0.369, 0.519, 0.143], [0.481, 0.869, 0.643], [0.519, 0.131, 0.357], [0.631, 0.481, 0.857], [0.869, 0.019, 0.857], [0.981, 0.369, 0.357]]
}

***

{
  "formula": "NaNpO2",
  "functional": "PBE-GGA",
  "state": "relaxed",
  "mass_density_g_cm3": 8.27,
  "relative_energy_ev_per_fu": 0.31,
  "e_form_raw_mev_per_atom": -2161,
  "cell": [[1.673, 0.966, 6.044], [-1.673, 0.966, 6.044], [0.000, -1.932, 6.044]],
  "species": ["Na", "Np", "O", "O"],
  "fractional_positions": [[0.000, 0.000, 0.000], [0.828, 0.828, 0.828], [0.418, 0.418, 0.418], [0.570, 0.570, 0.570]]
}